V4IrRu5 | PBE-GGA | optimized geometry

Unit cell a=13.795 b=4.021 c=5.311 alpha=90.00 beta=110.01 gamma=90.00
Space group C2/m (No. 12)
Asymmetric unit:
V1 0.087 0.000 0.349
V2 0.199 0.500 0.139
Ir1 0.000 0.500 0.000
Ru1 0.000 0.500 0.500
Ru2 0.113 0.000 0.855
Ru3 0.208 0.500 0.630

Crystal system: monoclinic
Mass density (g cm⁻³): 10.814
Magnetic moment (μB per cell): 0.00
Energy of formation from the pure elements (eV per atom): -0.2760


V6Ir5Ru | PBE-GGA | optimized geometry

Unit cell a=3.921 b=11.681 c=7.290 alpha=90.00 beta=90.07 gamma=90.00
Space group C2/m (No. 12)
Asymmetric unit:
V1 0.000 0.000 0.247
V2 0.000 0.334 0.249
Ir1 0.000 0.167 0.000
Ir2 0.000 0.167 0.500
Ir3 0.000 0.500 0.500
Ru1 0.000 0.500 0.000

Crystal system: monoclinic
Distance to the lowest polymorph of the same formula (meV per atom): 0
Mass density (g cm⁻³): 13.604
Magnetic moment (μB per cell): 0.00
Energy of formation from the pure elements (eV per atom): -0.4376


V11Ir4Ru9 | PBE-GGA | optimized geometry

Unit cell a=13.413 b=17.139 c=2.912 alpha=90.00 beta=90.00 gamma=90.00
Space group Cmmm (No. 65)
Asymmetric unit:
V1 0.000 0.000 0.000
V2 0.000 0.183 0.000
V3 0.000 0.373 0.000
V4 0.218 0.000 0.000
V5 0.237 0.181 0.000
Ir1 0.166 0.418 0.500
Ru1 0.000 0.500 0.500
Ru2 0.108 0.265 0.500
Ru3 0.110 0.091 0.500

Crystal system: orthorhombic
Mass density (g cm⁻³): 11.108
Magnetic moment (μB per cell): 1.33
Energy of formation from the pure elements (eV per atom): -0.2801


V3IrRu2 | PBE-GGA | optimized geometry

Unit cell a=4.322 b=13.220 c=5.814 alpha=90.00 beta=90.00 gamma=90.00
Space group Cmmm (No. 65)
Asymmetric unit:
V1 0.000 0.000 0.240
V2 0.000 0.343 0.252
Ir1 0.000 0.181 0.000
Ru1 0.000 0.173 0.500
Ru2 0.000 0.500 0.000
Ru3 0.000 0.500 0.500

Crystal system: orthorhombic
Mass density (g cm⁻³): 10.941
Magnetic moment (μB per cell): 0.00
Energy of formation from the pure elements (eV per atom): -0.2482


V11Ir9Ru4 | PBE-GGA | optimized geometry

Unit cell a=14.034 b=16.899 c=2.838 alpha=90.00 beta=90.00 gamma=90.00
Space group Cmmm (No. 65)
Asymmetric unit:
V1 0.000 0.000 0.000
V2 0.000 0.153 0.000
V3 0.000 0.362 0.000
V4 0.246 0.000 0.000
V5 0.247 0.181 0.000
Ir1 0.000 0.500 0.500
Ir2 0.105 0.255 0.500
Ir3 0.132 0.086 0.500
Ru1 0.154 0.415 0.500

Crystal system: orthorhombic
Mass density (g cm⁻³): 13.297
Magnetic moment (μB per cell): 1.45
Energy of formation from the pure elements (eV per atom): -0.3592


V2IrRu | PBE-GGA | optimized geometry

Unit cell a=8.846 b=5.698 c=4.426 alpha=90.00 beta=97.48 gamma=90.00
Space group C2/m (No. 12)
Asymmetric unit:
V1 0.143 0.247 0.287
Ir1 0.108 0.500 0.782
Ru1 0.111 0.000 0.781

Crystal system: monoclinic
Mass density (g cm⁻³): 11.866
Magnetic moment (μB per cell): 4.18
Energy of formation from the pure elements (eV per atom): -0.3764


V5Ir4Ru2 | PBE-GGA | optimized geometry

Unit cell a=5.250 b=15.538 c=3.940 alpha=90.00 beta=90.00 gamma=90.00
Space group Pbam (No. 55)
Asymmetric unit:
V1 0.000 0.000 0.000
V2 0.083 0.413 0.000
V3 0.172 0.239 0.000
Ir1 0.106 0.858 0.500
Ir2 0.234 0.522 0.500
Ru1 0.105 0.684 0.500

Crystal system: orthorhombic
Mass density (g cm⁻³): 12.666
Magnetic moment (μB per cell): 0.00
Energy of formation from the pure elements (eV per atom): -0.1095


V2Ir5RuW | PBE-GGA | optimized geometry

Unit cell a=7.119 b=7.119 c=10.806 alpha=90.00 beta=90.00 gamma=90.00
Space group I4/mcm (No. 140)
Asymmetric unit:
V1 0.104 0.396 0.000
Ir1 0.000 0.000 0.000
Ir2 0.206 0.294 0.371
Ru1 0.000 0.500 0.250
W1 0.000 0.000 0.250

Crystal system: tetragonal
Mass density (g cm⁻³): 16.349
Magnetic moment (μB per cell): 0.01
Energy of formation from the pure elements (eV per atom): 0.2649


Ir2Ru3W | PBE-GGA | optimized geometry

Unit cell a=5.244 b=2.642 c=6.808 alpha=90.00 beta=102.15 gamma=90.00
Space group P2/m (No. 10)
Asymmetric unit:
Ir1 0.176 0.000 0.171
Ru1 0.000 0.000 0.500
Ru2 0.332 0.000 0.827
W1 0.500 0.500 0.500

Crystal system: monoclinic
Mass density (g cm⁻³): 15.694
Magnetic moment (μB per cell): 0.00
Energy of formation from the pure elements (eV per atom): 0.4634


IrRuW2 | PBE-GGA | optimized geometry

Unit cell a=9.168 b=2.803 c=4.808 alpha=90.00 beta=99.66 gamma=90.00
Space group Cm (No. 8)
Asymmetric unit:
Ir1 0.000 0.000 0.000
Ru1 0.254 0.000 0.716
W1 0.007 0.500 0.507
W2 0.246 0.500 0.210

Crystal system: monoclinic
Distance to the lowest polymorph of the same formula (meV per atom): 92
Mass density (g cm⁻³): 18.020
Magnetic moment (μB per cell): 0.00
Energy of formation from the pure elements (eV per atom): -0.0489


IrRuW2 | PBE-GGA | optimized geometry

Unit cell a=2.7845 b=2.7845 c=27.4732 alpha=90.00 beta=90.00 gamma=120.00
Space group R3m (No. 160, hexagonal axes)
Asymmetric unit:
Ir1 0.0000 0.0000 0.0000
Ru1 0.0000 0.0000 0.2475
W1 0.0000 0.0000 0.5026
W2 0.0000 0.0000 0.7454

Crystal system: trigonal
Distance to the lowest polymorph of the same formula (meV per atom): 227
Mass density (g cm⁻³): 17.848
Magnetic moment (μB per cell): 0.00
Energy of formation from the pure elements (eV per atom): 0.0859


IrRuW2 | PBE-GGA | optimized geometry

Unit cell a=9.245 b=2.772 c=4.811 alpha=90.00 beta=99.85 gamma=90.00
Space group C2/m (No. 12)
Asymmetric unit:
Ir1 0.000 0.000 0.000
Ru1 0.000 0.500 0.500
W1 0.249 0.500 0.250

Crystal system: monoclinic
Distance to the lowest polymorph of the same formula (meV per atom): 138
Mass density (g cm⁻³): 18.070
Magnetic moment (μB per cell): 0.00
Energy of formation from the pure elements (eV per atom): -0.0036


Ir4RuW | PBE-GGA | optimized geometry

Unit cell a=7.204 b=7.204 c=7.204 alpha=90.00 beta=90.00 gamma=90.00
Space group F-43m (No. 216)
Asymmetric unit:
Ir1 0.125 0.125 0.125
Ru1 0.250 0.250 0.750
W1 0.000 0.000 0.500

Crystal system: cubic
Distance to the lowest polymorph of the same formula (meV per atom): 419
Mass density (g cm⁻³): 18.722
Magnetic moment (μB per cell): 0.01
Energy of formation from the pure elements (eV per atom): 0.4175


Ir3Ru3W2 | PBE-GGA | optimized geometry

Unit cell a=6.9616 b=6.9616 c=8.6770 alpha=90.00 beta=90.00 gamma=120.00
Space group R32 (No. 155, hexagonal axes)
Asymmetric unit:
Ir1 0.0000 0.2365 0.0000
Ru1 0.0000 0.7404 0.5000
W1 0.0000 0.0000 0.2509

Crystal system: trigonal
Distance to the lowest polymorph of the same formula (meV per atom): 429
Mass density (g cm⁻³): 17.065
Magnetic moment (μB per cell): 0.00
Energy of formation from the pure elements (eV per atom): 0.2011


IrRuW2 | PBE-GGA | optimized geometry

Unit cell a=6.281 b=6.281 c=6.281 alpha=90.00 beta=90.00 gamma=90.00
Space group Fm-3m (No. 225)
Asymmetric unit:
Ir1 0.000 0.000 0.000
Ru1 0.000 0.000 0.500
W1 0.250 0.250 0.250

Crystal system: cubic
Distance to the lowest polymorph of the same formula (meV per atom): 529
Mass density (g cm⁻³): 17.717
Magnetic moment (μB per cell): 4.58
Energy of formation from the pure elements (eV per atom): 0.3877


IrRuW2 | PBE-GGA | optimized geometry

Unit cell a=5.569 b=7.785 c=2.789 alpha=90.00 beta=90.18 gamma=90.00
Space group C2/m (No. 12)
Asymmetric unit:
Ir1 0.000 0.000 0.000
Ru1 0.000 0.500 0.000
W1 0.250 0.250 0.500

Crystal system: monoclinic
Distance to the lowest polymorph of the same formula (meV per atom): 12
Mass density (g cm⁻³): 18.151
Magnetic moment (μB per cell): 0.00
Energy of formation from the pure elements (eV per atom): -0.1294


Ir3RuW3 | PBE-GGA | optimized geometry

Unit cell a=7.636 b=7.636 c=7.636 alpha=90.00 beta=90.00 gamma=90.00
Space group P2_13 (No. 198)
Asymmetric unit:
Ir1 0.034 0.466 0.534
Ir2 0.161 0.839 0.339
Ir3 0.166 0.166 0.166
Ru1 0.133 0.633 0.867
W1 0.034 0.314 0.868

Crystal system: cubic
Mass density (g cm⁻³): 18.335
Magnetic moment (μB per cell): 0.00
Energy of formation from the pure elements (eV per atom): 0.1606


IrRuW2 | PBE-GGA | optimized geometry

Unit cell a=6.265 b=6.265 c=6.265 alpha=90.00 beta=90.00 gamma=90.00
Space group F-43m (No. 216)
Asymmetric unit:
Ir1 0.000 0.000 0.000
Ru1 0.250 0.250 0.250
W1 0.000 0.000 0.500
W2 0.250 0.250 0.750

Crystal system: cubic
Distance to the lowest polymorph of the same formula (meV per atom): 379
Mass density (g cm⁻³): 17.853
Magnetic moment (μB per cell): 0.01
Energy of formation from the pure elements (eV per atom): 0.2382


Ir3Ru3W2 | PBE-GGA | optimized geometry

Unit cell a=3.877 b=3.898 c=7.715 alpha=90.00 beta=90.00 gamma=90.00
Space group Pmmm (No. 47)
Asymmetric unit:
Ir1 0.000 0.000 0.000
Ir2 0.500 0.000 0.250
Ru1 0.000 0.000 0.500
Ru2 0.500 0.500 0.000
Ru3 0.500 0.500 0.500
W1 0.000 0.500 0.253

Crystal system: orthorhombic
Distance to the lowest polymorph of the same formula (meV per atom): 0
Mass density (g cm⁻³): 17.766
Magnetic moment (μB per cell): 0.00
Energy of formation from the pure elements (eV per atom): -0.2276


IrRuW2 | PBE-GGA | optimized geometry

Unit cell a=3.945 b=3.881 c=7.899 alpha=90.00 beta=90.00 gamma=90.00
Space group Pmma (No. 51)
Asymmetric unit:
Ir1 0.250 0.000 0.124
Ru1 0.250 0.000 0.626
W1 0.250 0.500 0.376
W2 0.250 0.500 0.874

Crystal system: orthorhombic
Distance to the lowest polymorph of the same formula (meV per atom): 9
Mass density (g cm⁻³): 18.152
Magnetic moment (μB per cell): 0.00
Energy of formation from the pure elements (eV per atom): -0.1320